CaZn3Cl PBE optimized geometry; ΔE_f (raw) = 360 meV/atom; calculated total energy = -1.1739 eV/atom; calculated volume = 211.78 Å³ per cell; relative energy among the computed polymorphs = 129.4 meV/atom
1.0
-1.595 1.946 -5.404
-5.081 -3.092 0.386
-2.677 4.710 2.486
Zn Ca Cl
3 1 1
direct
0.000 0.500 0.000
0.000 0.000 0.500
0.500 0.000 0.000
0.000 0.000 0.000
0.500 0.500 0.500